No. 1
# ZrTe2Rh SCAN single point on PBEsol structure
data_ZrTe2Rh
_chemical_formula_sum 'Zr1 Te2 Rh1'
_space_group_name_H-M_alt 'P 1'
_space_group_IT_number 1
_cell_length_a 3.561
_cell_length_b 3.613
_cell_length_c 6.655
_cell_angle_alpha 101.26
_cell_angle_beta 90.00
_cell_angle_gamma 90.00
loop_
_space_group_symop_operation_xyz
'x,y,z'
loop_
_atom_site_label
_atom_site_type_symbol
_atom_site_fract_x
_atom_site_fract_y
_atom_site_fract_z
Te1 Te 0.000 0.883 0.248
Te2 Te 0.000 0.117 0.752
Rh1 Rh 0.500 0.500 0.000
Zr1 Zr 0.500 0.500 0.500
# - N(E_F): 2.90 states/eV/cell
# - ΔE_f (raw): -442 meV/atom
# - Energy above the lowest structure with this stoichiometry: 172 meV/atom


No. 2
# NaFe2O4 SCAN single point on PBEsol structure
data_NaFe2O4
_chemical_formula_sum 'Na4 Fe8 O16'
_space_group_name_H-M_alt 'P 1'
_space_group_IT_number 1
_cell_length_a 2.762
_cell_length_b 8.750
_cell_length_c 10.257
_cell_angle_alpha 90.00
_cell_angle_beta 90.00
_cell_angle_gamma 90.00
loop_
_space_group_symop_operation_xyz
'x,y,z'
loop_
_atom_site_label
_atom_site_type_symbol
_atom_site_fract_x
_atom_site_fract_y
_atom_site_fract_z
O1 O 0.750 0.612 0.978
O2 O 0.250 0.298 0.353
O3 O 0.750 0.702 0.647
O4 O 0.250 0.388 0.022
O5 O 0.250 0.581 0.431
O6 O 0.750 0.202 0.853
O7 O 0.250 0.081 0.069
O8 O 0.750 0.026 0.284
O9 O 0.250 0.974 0.716
O10 O 0.750 0.919 0.931
O11 O 0.750 0.526 0.216
O12 O 0.750 0.419 0.569
O13 O 0.250 0.474 0.784
O14 O 0.750 0.112 0.522
O15 O 0.250 0.798 0.147
O16 O 0.250 0.888 0.478
Na1 Na 0.750 0.760 0.338
Na2 Na 0.250 0.740 0.838
Na3 Na 0.750 0.260 0.162
Na4 Na 0.250 0.240 0.662
Fe1 Fe 0.250 0.586 0.102
Fe2 Fe 0.250 0.059 0.887
Fe3 Fe 0.750 0.914 0.602
Fe4 Fe 0.750 0.414 0.898
Fe5 Fe 0.750 0.941 0.113
Fe6 Fe 0.250 0.086 0.398
Fe7 Fe 0.250 0.559 0.613
Fe8 Fe 0.750 0.441 0.387
# - N(E_F): 6.63 states/eV/cell
# - ΔE_f (raw): -1678 meV/atom
# - Energy above the lowest structure with this stoichiometry: 12 meV/atom


No. 3
# GaH12C4NCl3 SCAN single point on PBEsol structure
data_GaH12C4NCl3
_chemical_formula_sum 'Ga8 H96 C32 N8 Cl24'
_space_group_name_H-M_alt 'P 1'
_space_group_IT_number 1
_cell_length_a 13.218
_cell_length_b 13.218
_cell_length_c 13.218
_cell_angle_alpha 90.00
_cell_angle_beta 90.00
_cell_angle_gamma 90.00
loop_
_space_group_symop_operation_xyz
'x,y,z'
loop_
_atom_site_label
_atom_site_type_symbol
_atom_site_fract_x
_atom_site_fract_y
_atom_site_fract_z
N1 N 0.790 0.290 0.210
N2 N 0.790 0.210 0.710
N3 N 0.210 0.710 0.790
N4 N 0.290 0.290 0.290
N5 N 0.710 0.710 0.710
N6 N 0.210 0.790 0.290
N7 N 0.710 0.790 0.210
N8 N 0.290 0.210 0.790
H1 H 0.765 0.346 0.791
H2 H 0.624 0.660 0.835
H3 H 0.733 0.233 0.072
H4 H 0.346 0.709 0.265
H5 H 0.209 0.235 0.654
H6 H 0.876 0.160 0.835
H7 H 0.267 0.572 0.733
H8 H 0.654 0.209 0.235
H9 H 0.154 0.291 0.765
H10 H 0.160 0.665 0.376
H11 H 0.654 0.291 0.735
H12 H 0.233 0.267 0.928
H13 H 0.428 0.267 0.733
H14 H 0.859 0.215 0.565
H15 H 0.065 0.641 0.785
H16 H 0.565 0.641 0.715
H17 H 0.346 0.791 0.765
H18 H 0.233 0.233 0.428
H19 H 0.235 0.846 0.709
H20 H 0.715 0.565 0.641
H21 H 0.660 0.665 0.124
H22 H 0.715 0.935 0.141
H23 H 0.435 0.141 0.785
H24 H 0.285 0.065 0.859
H25 H 0.340 0.335 0.876
H26 H 0.840 0.335 0.624
H27 H 0.846 0.791 0.735
H28 H 0.733 0.267 0.572
H29 H 0.072 0.767 0.733
H30 H 0.859 0.285 0.065
H31 H 0.785 0.435 0.141
H32 H 0.267 0.928 0.233
H33 H 0.624 0.840 0.335
H34 H 0.709 0.235 0.846
H35 H 0.735 0.654 0.291
H36 H 0.215 0.565 0.859
H37 H 0.767 0.572 0.767
H38 H 0.840 0.165 0.124
H39 H 0.785 0.065 0.641
H40 H 0.435 0.359 0.285
H41 H 0.376 0.160 0.665
H42 H 0.928 0.233 0.267
H43 H 0.835 0.624 0.660
H44 H 0.565 0.859 0.215
H45 H 0.709 0.265 0.346
H46 H 0.291 0.735 0.654
H47 H 0.235 0.654 0.209
H48 H 0.340 0.165 0.376
H49 H 0.335 0.876 0.340
H50 H 0.285 0.435 0.359
H51 H 0.165 0.124 0.840
H52 H 0.935 0.359 0.215
H53 H 0.846 0.709 0.235
H54 H 0.265 0.346 0.709
H55 H 0.335 0.624 0.840
H56 H 0.141 0.715 0.935
H57 H 0.267 0.767 0.928
H58 H 0.233 0.072 0.733
H59 H 0.124 0.840 0.165
H60 H 0.935 0.141 0.715
H61 H 0.215 0.935 0.359
H62 H 0.359 0.285 0.435
H63 H 0.072 0.733 0.233
H64 H 0.791 0.735 0.846
H65 H 0.733 0.428 0.267
H66 H 0.160 0.835 0.876
H67 H 0.428 0.233 0.233
H68 H 0.641 0.715 0.565
H69 H 0.665 0.376 0.160
H70 H 0.267 0.733 0.428
H71 H 0.665 0.124 0.660
H72 H 0.767 0.767 0.572
H73 H 0.265 0.154 0.209
H74 H 0.641 0.785 0.065
H75 H 0.767 0.733 0.072
H76 H 0.359 0.215 0.935
H77 H 0.154 0.209 0.265
H78 H 0.572 0.733 0.267
H79 H 0.291 0.765 0.154
H80 H 0.928 0.267 0.767
H81 H 0.791 0.765 0.346
H82 H 0.124 0.660 0.665
H83 H 0.733 0.072 0.767
H84 H 0.209 0.265 0.154
H85 H 0.572 0.767 0.767
H86 H 0.376 0.340 0.165
H87 H 0.660 0.835 0.624
H88 H 0.765 0.154 0.291
H89 H 0.233 0.428 0.233
H90 H 0.735 0.846 0.791
H91 H 0.141 0.785 0.435
H92 H 0.065 0.859 0.285
H93 H 0.165 0.376 0.340
H94 H 0.767 0.928 0.267
H95 H 0.835 0.876 0.160
H96 H 0.876 0.340 0.335
C1 C 0.890 0.194 0.760
C2 C 0.760 0.890 0.194
C3 C 0.775 0.775 0.775
C4 C 0.775 0.725 0.275
C5 C 0.890 0.306 0.260
C6 C 0.610 0.806 0.260
C7 C 0.194 0.760 0.890
C8 C 0.306 0.240 0.390
C9 C 0.390 0.194 0.740
C10 C 0.694 0.740 0.110
C11 C 0.390 0.306 0.240
C12 C 0.240 0.110 0.806
C13 C 0.694 0.760 0.610
C14 C 0.806 0.240 0.110
C15 C 0.725 0.225 0.275
C16 C 0.110 0.806 0.240
C17 C 0.760 0.610 0.694
C18 C 0.260 0.610 0.806
C19 C 0.110 0.694 0.740
C20 C 0.306 0.260 0.890
C21 C 0.725 0.275 0.775
C22 C 0.740 0.110 0.694
C23 C 0.740 0.390 0.194
C24 C 0.194 0.740 0.390
C25 C 0.225 0.225 0.225
C26 C 0.260 0.890 0.306
C27 C 0.610 0.694 0.760
C28 C 0.275 0.725 0.225
C29 C 0.240 0.390 0.306
C30 C 0.225 0.275 0.725
C31 C 0.806 0.260 0.610
C32 C 0.275 0.775 0.725
Cl1 Cl 0.215 0.497 0.557
Cl2 Cl 0.557 0.285 0.997
Cl3 Cl 0.503 0.443 0.785
Cl4 Cl 0.557 0.215 0.497
Cl5 Cl 0.715 0.003 0.443
Cl6 Cl 0.497 0.943 0.715
Cl7 Cl 0.057 0.285 0.503
Cl8 Cl 0.943 0.715 0.497
Cl9 Cl 0.003 0.443 0.715
Cl10 Cl 0.003 0.057 0.215
Cl11 Cl 0.997 0.557 0.285
Cl12 Cl 0.715 0.497 0.943
Cl13 Cl 0.443 0.715 0.003
Cl14 Cl 0.503 0.057 0.285
Cl15 Cl 0.785 0.503 0.443
Cl16 Cl 0.497 0.557 0.215
Cl17 Cl 0.443 0.785 0.503
Cl18 Cl 0.215 0.003 0.057
Cl19 Cl 0.285 0.503 0.057
Cl20 Cl 0.285 0.997 0.557
Cl21 Cl 0.997 0.943 0.785
Cl22 Cl 0.057 0.215 0.003
Cl23 Cl 0.943 0.785 0.997
Cl24 Cl 0.785 0.997 0.943
Ga1 Ga 0.552 0.052 0.448
Ga2 Ga 0.052 0.448 0.552
Ga3 Ga 0.552 0.448 0.948
Ga4 Ga 0.948 0.948 0.948
Ga5 Ga 0.448 0.552 0.052
Ga6 Ga 0.448 0.948 0.552
Ga7 Ga 0.948 0.552 0.448
Ga8 Ga 0.052 0.052 0.052
# - N(E_F): 0.00 states/eV/cell
# - Raw total energy: -6.67 eV/atom